Computed, not measured: a relaxed structure of TlNiP2Br at the PBE level of DFT.

Properties
Its density is 5.25 g cm⁻³. As for the crystal system: tetragonal. Its total energy is -3.98 eV/atom.

a = 4.2952 Å, b = 6.9392 Å, c = 4.2952 Å
α = 90.00°, β = 90.00°, γ = 90.00°
With the nearest neighbours (Å) after each atom.
Atoms (fractional coordinates):
Ni 0.0000 0.0000 0.0000  4 P 2.15
Tl 0.0000 0.5000 0.0000  4 Br 3.04
Br 0.5000 0.5000 0.5000  4 Tl 3.04
P 0.0000 0.0000 0.5000  2 Ni 2.15
P 0.5000 0.0000 0.0000  2 Ni 2.15